# 1
Material: CsRbNa
Method: DFT, PBE-GGA
State: relaxed

Values from the calculation:
- offset from the most stable computed form (kJ per mole of atoms) = 0.91
- SG = No. 1
- ΔE_f (meV/atom) = 32
- total magnetization (μB per atom) = 0.0000
- calculated volume (Å³/cell) = 493
- raw total energy (eV per cell) = -6.1

Cell and atoms, written as POSCAR:
```
CsRbNa
1.0
6.408 0.005 -0.001
0.003 9.680 0.085
-0.005 1.875 7.968
Cs Rb Na
2 2 2
direct
0.829 0.263 0.379
0.328 0.736 0.527
0.327 0.175 0.876
0.827 0.824 0.030
0.827 0.463 0.840
0.327 0.535 0.065
```

***

# 2
Material: Cs7Rb4Na
Method: DFT, PBE-GGA
State: relaxed

Values from the calculation:
- SG = No. 12
- ΔE_f (meV/atom) = 27
- total magnetization (μB per atom) = 0.0000
- calculated volume (Å³/cell) = 1231
- raw total energy (eV per cell) = -10.8

Cell and atoms, written as POSCAR:
```
Cs7Rb4Na
1.0
8.233 0.000 0.000
-4.116 8.654 -1.491
0.000 0.313 17.220
Cs Rb Na
7 4 1
direct
0.234 0.468 0.100
0.766 0.532 0.900
0.410 0.820 0.368
0.590 0.180 0.632
0.141 0.283 0.455
0.500 0.000 0.000
0.859 0.717 0.545
0.064 0.127 0.789
0.936 0.873 0.211
0.669 0.338 0.271
0.331 0.662 0.729
0.000 0.000 0.000
```

***

# 3
Material: Cs7RbNa5
Method: DFT, PBE-GGA
State: relaxed

Values from the calculation:
- SG = No. 44
- ΔE_f (meV/atom) = 35
- total magnetization (μB per atom) = 0.0000
- calculated volume (Å³/cell) = 1030
- raw total energy (eV per cell) = -13.1

Cell and atoms, written as POSCAR:
```
Cs7RbNa5
1.0
8.316 0.000 3.721
3.859 10.616 2.530
-0.152 -1.366 11.493
Cs Rb Na
7 1 5
direct
0.000 0.746 0.254
0.000 0.394 0.606
0.309 0.648 0.735
0.691 0.265 0.352
0.500 0.717 0.283
0.323 0.176 0.178
0.677 0.822 0.824
0.000 0.088 0.912
0.004 0.010 0.555
0.431 0.010 0.555
0.569 0.445 0.990
0.996 0.445 0.990
0.500 0.233 0.767
```

***

# 4
Material: Cs2Rb7Na3
Method: DFT, PBE-GGA
State: relaxed

Values from the calculation:
- SG = No. 65
- ΔE_f (meV/atom) = 41
- total magnetization (μB per atom) = 0.0000
- calculated volume (Å³/cell) = 964
- raw total energy (eV per cell) = -11.9

Cell and atoms, written as POSCAR:
```
Cs2Rb7Na3
1.0
-10.109 10.086 20.171
4.535 -15.300 -18.872
3.191 -2.679 2.939
Cs Rb Na
2 7 3
direct
0.168 0.832 0.000
0.832 0.168 0.000
0.573 0.427 0.000
0.278 0.722 0.000
0.000 0.000 0.000
0.427 0.573 0.000
0.916 0.084 0.500
0.084 0.916 0.500
0.722 0.278 0.000
0.500 0.500 0.500
0.355 0.645 0.500
0.645 0.355 0.500
```

***

# 5
Material: CsRb3Na3
Method: DFT, PBE-GGA
State: relaxed

Values from the calculation:
- offset from the most stable computed form (kJ per mole of atoms) = 0.00
- SG = No. 11
- ΔE_f (meV/atom) = 42
- total magnetization (μB per atom) = 0.0000
- calculated volume (Å³/cell) = 954
- raw total energy (eV per cell) = -14.8

Cell and atoms, written as POSCAR:
```
CsRb3Na3
1.0
7.135 0.000 0.000
0.000 10.791 -6.167
0.000 -0.067 12.425
Cs Rb Na
2 6 6
direct
0.750 0.333 0.667
0.250 0.667 0.333
0.750 0.757 0.994
0.750 0.236 0.242
0.750 0.006 0.763
0.250 0.243 0.006
0.250 0.764 0.758
0.250 0.994 0.237
0.750 0.915 0.397
0.750 0.482 0.085
0.750 0.603 0.518
0.250 0.085 0.603
0.250 0.518 0.915
0.250 0.397 0.482
```

***

# 6
Material: Cs5Rb6Na2
Method: DFT, PBE-GGA
State: relaxed

Values from the calculation:
- SG = No. 55
- ΔE_f (meV/atom) = 36
- total magnetization (μB per atom) = 0.0000
- calculated volume (Å³/cell) = 2394
- raw total energy (eV per cell) = -24.5

Cell and atoms, written as POSCAR:
```
Cs5Rb6Na2
1.0
4.976 0.000 0.000
0.000 14.729 0.000
0.000 0.000 32.668
Cs Rb Na
10 12 4
direct
0.500 0.331 0.504
0.500 0.669 0.496
0.500 0.831 0.996
0.500 0.169 0.004
0.500 0.585 0.251
0.500 0.415 0.749
0.500 0.085 0.249
0.500 0.915 0.751
0.500 0.500 0.000
0.500 0.000 0.500
0.000 0.165 0.379
0.000 0.835 0.621
0.000 0.665 0.121
0.000 0.335 0.879
0.500 0.336 0.145
0.500 0.664 0.855
0.500 0.836 0.355
0.500 0.164 0.645
0.000 0.496 0.379
0.000 0.504 0.621
0.000 0.996 0.121
0.000 0.004 0.879
0.000 0.334 0.265
0.000 0.666 0.735
0.000 0.834 0.235
0.000 0.166 0.765
```

***

# 7
Material: Cs2Rb9Na4
Method: DFT, PBE-GGA
State: relaxed

Values from the calculation:
- SG = No. 164
- ΔE_f (meV/atom) = 28
- total magnetization (μB per atom) = 0.0000
- calculated volume (Å³/cell) = 1155
- raw total energy (eV per cell) = -15.3

Cell and atoms, written as POSCAR:
```
Cs2Rb9Na4
1.0
-5.314 -1.318 5.182
0.503 -4.415 -6.090
14.734 -14.185 11.503
Cs Rb Na
2 9 4
direct
0.333 0.667 0.798
0.667 0.333 0.202
0.000 0.000 0.307
0.000 0.000 0.693
0.000 0.000 0.894
0.000 0.000 0.106
0.333 0.667 0.576
0.667 0.333 0.424
0.667 0.333 0.963
0.333 0.667 0.037
0.000 0.000 0.500
0.333 0.667 0.381
0.667 0.333 0.619
0.667 0.333 0.776
0.333 0.667 0.224
```

***

# 8
Material: Cs5Rb4Na2
Method: DFT, PBE-GGA
State: relaxed

Values from the calculation:
- offset from the most stable computed form (kJ per mole of atoms) = 1.23
- SG = No. 71
- ΔE_f (meV/atom) = 40
- total magnetization (μB per atom) = 0.0000
- calculated volume (Å³/cell) = 1024
- raw total energy (eV per cell) = -10.3

Cell and atoms, written as POSCAR:
```
Cs5Rb4Na2
1.0
-3.027 1.963 -3.448
-9.492 -8.015 3.769
1.326 13.789 10.299
Cs Rb Na
5 4 2
direct
0.144 0.360 0.289
0.856 0.640 0.711
0.144 0.929 0.289
0.500 0.000 0.000
0.856 0.071 0.711
0.728 0.728 0.455
0.000 0.334 0.000
0.272 0.272 0.545
0.000 0.666 0.000
0.594 0.594 0.188
0.406 0.406 0.812
```

***

# 9
Material: CsRb4Na
Method: DFT, PBE-GGA
State: relaxed

Values from the calculation:
- offset from the most stable computed form (kJ per mole of atoms) = 6.00
- SG = No. 216
- ΔE_f (meV/atom) = 79
- total magnetization (μB per atom) = 0.0000
- calculated volume (Å³/cell) = 534
- raw total energy (eV per cell) = -5.6

Cell and atoms, written as POSCAR:
```
CsRb4Na
1.0
9.104 0.000 0.000
4.552 7.884 0.000
4.552 2.628 7.433
Cs Na Rb
1 1 4
direct
0.250 0.250 0.250
0.000 0.000 0.000
0.626 0.626 0.122
0.626 0.122 0.626
0.626 0.626 0.626
0.122 0.626 0.626
```

***

# 10
Material: Cs3Rb2Na9
Method: DFT, PBE-GGA
State: relaxed

Values from the calculation:
- SG = No. 71
- ΔE_f (meV/atom) = 37
- total magnetization (μB per atom) = 0.0000
- calculated volume (Å³/cell) = 826
- raw total energy (eV per cell) = -15.8

Cell and atoms, written as POSCAR:
```
Cs3Rb2Na9
1.0
-11.213 3.598 3.558
-6.672 3.063 -9.871
5.746 -8.637 6.611
Cs Rb Na
3 2 9
direct
0.000 0.000 0.000
0.287 0.287 0.000
0.713 0.713 0.000
0.298 0.500 0.798
0.702 0.500 0.202
0.500 0.000 0.500
0.968 0.322 0.646
0.032 0.678 0.354
0.676 0.322 0.354
0.324 0.678 0.646
0.850 0.143 0.708
0.150 0.857 0.292
0.435 0.143 0.292
0.565 0.857 0.708
```

***

# 11
Material: Cs5Rb2Na6
Method: DFT, PBE-GGA
State: relaxed

Values from the calculation:
- SG = No. 166
- ΔE_f (meV/atom) = 83
- total magnetization (μB per atom) = 0.0000
- calculated volume (Å³/cell) = 1250
- raw total energy (eV per cell) = -13.0

Cell and atoms, written as POSCAR:
```
Cs5Rb2Na6
1.0
-7.122 -7.274 -1.360
2.514 -8.865 -4.537
1.601 -10.731 10.228
Cs Rb Na
5 2 6
direct
0.574 0.574 0.279
0.426 0.426 0.721
0.759 0.759 0.723
0.241 0.241 0.277
0.000 0.000 0.000
0.890 0.890 0.329
0.110 0.110 0.671
0.831 0.500 0.500
0.500 0.169 0.500
0.169 0.831 0.500
0.169 0.500 0.500
0.500 0.831 0.500
0.831 0.169 0.500
```

***

# 12
Material: Cs2Rb5Na3
Method: DFT, PBE-GGA
State: relaxed

Values from the calculation:
- SG = No. 36
- ΔE_f (meV/atom) = 28
- total magnetization (μB per atom) = 0.0000
- calculated volume (Å³/cell) = 1572
- raw total energy (eV per cell) = -20.4

Cell and atoms, written as POSCAR:
```
Cs2Rb5Na3
1.0
6.710 0.000 -1.143
0.000 11.009 0.000
0.168 0.000 21.256
Cs Rb Na
4 10 6
direct
0.478 0.776 0.956
0.176 0.706 0.353
0.824 0.206 0.647
0.522 0.276 0.044
0.404 0.399 0.808
0.295 0.512 0.591
0.705 0.012 0.409
0.127 0.232 0.254
0.290 0.926 0.580
0.943 0.100 0.886
0.710 0.426 0.420
0.873 0.732 0.746
0.057 0.600 0.114
0.596 0.899 0.192
0.769 0.723 0.538
0.614 0.501 0.227
0.039 0.991 0.078
0.231 0.223 0.462
0.961 0.491 0.922
0.386 0.001 0.773
```

***

> What is the formula in the seventh record?

Cs2Rb9Na4

***

> What is the formula in the eighth record?

Cs5Rb4Na2

***

Copy entry 11 word for word.
Material: Cs5Rb2Na6
Method: DFT, PBE-GGA
State: relaxed

Values from the calculation:
- SG = No. 166
- ΔE_f (meV/atom) = 83
- total magnetization (μB per atom) = 0.0000
- calculated volume (Å³/cell) = 1250
- raw total energy (eV per cell) = -13.0

Cell and atoms, written as POSCAR:
```
Cs5Rb2Na6
1.0
-7.122 -7.274 -1.360
2.514 -8.865 -4.537
1.601 -10.731 10.228
Cs Rb Na
5 2 6
direct
0.574 0.574 0.279
0.426 0.426 0.721
0.759 0.759 0.723
0.241 0.241 0.277
0.000 0.000 0.000
0.890 0.890 0.329
0.110 0.110 0.671
0.831 0.500 0.500
0.500 0.169 0.500
0.169 0.831 0.500
0.169 0.500 0.500
0.500 0.831 0.500
0.831 0.169 0.500
```